(1)
Compound: Pm5Zn2Ga
Source: the Alexandria database
Functional: GGA-PBE
Structure: optimized geometry

a b c (Å): 7.5560 7.5560 15.4627
angles (deg): 90.00 90.00 90.00
Last column: nearest neighbours and their distance in Å.
Space group I4/mcm (No. 140)
Inequivalent atoms, fractional coordinates:
Pm 0.0000 0.0000 0.0000  4 Zn 3.02
Pm 0.1690 0.3310 0.1521  2 Ga 3.19, 3 Zn 3.23-3.27, 1 Pm 3.49
Zn 0.1190 0.3810 0.5000  1 Zn 2.54
Ga 0.0000 0.0000 0.2500  8 Pm 3.19

Calculated values
V (Å³/atom): 27.6
Calculated density (g/cm3): 6.96
Energy of formation (eV/atom): -0.277
Energy (eV per atom): -3.943
Spin magnetization (μB/atom): 0.00

(2)
Compound: SrNbAl3
Source: the Alexandria database
Functional: GGA-PBE
Structure: optimized geometry

a b c (Å): 5.0853 5.0853 5.0853
angles (deg): 90.00 90.00 90.00
Last column: nearest neighbours and their distance in Å.
Space group Pm-3m (No. 221)
Inequivalent atoms, fractional coordinates:
Sr 0.0000 0.0000 0.0000  12 Al 3.60
Nb 0.5000 0.5000 0.5000  6 Al 2.54
Al 0.0000 0.5000 0.5000  2 Nb 2.54

Calculated values
V (Å³/atom): 26.3
Polymorph energy (0 for the lowest one) (meV/atom): 0
Calculated density (g/cm3): 3.30
Energy of formation (eV/atom): 0.114
Energy (eV per atom): -4.482
Spin magnetization (μB/atom): 0.00

(3)
Compound: Mn5SnPt6
Source: the Alexandria database
Functional: GGA-PBE
Structure: optimized geometry

a b c (Å): 4.1124 7.3508 12.3406
angles (deg): 90.00 90.00 90.00
Last column: nearest neighbours and their distance in Å.
Space group Immm (No. 71)
Inequivalent atoms, fractional coordinates:
Mn 0.0000 0.0000 0.0000  8 Pt 2.72-2.76, 4 Mn 2.90
Mn 0.0000 0.0000 0.3294  8 Pt 2.68-2.84, 2 Mn 2.88, 2 Sn 2.94
Mn 0.0000 0.5000 0.3340  8 Pt 2.71-2.76, 4 Mn 2.88-2.90
Sn 0.0000 0.5000 0.0000  8 Pt 2.80, 4 Mn 2.94
Pt 0.0000 0.2465 0.1691  7 Mn 2.68-2.78, 1 Sn 2.80, 4 Pt 2.87-2.93
Pt 0.0000 0.2587 0.5000  6 Mn 2.71-2.84, 2 Sn 2.80, 4 Pt 2.93

Calculated values
V (Å³/atom): 15.5
Calculated density (g/cm3): 13.92
Energy of formation (eV/atom): -0.386
Energy (eV per atom): -7.560
Spin magnetization (μB/atom): 1.78

(4)
Compound: Na2SrPb6
Source: the Alexandria database
Functional: GGA-PBE
Structure: optimized geometry

a b c (Å): 17.4570 9.0983 3.7094
angles (deg): 90.00 101.95 90.00
Last column: nearest neighbours and their distance in Å.
Space group C2/m (No. 12)
Inequivalent atoms, fractional coordinates:
Na 0.1452 0.0000 0.1419  10 Pb 3.43-3.53, 2 Na 3.71
Sr 0.0000 0.5000 0.0000  12 Pb 3.52-3.90, 2 Sr 3.71
Pb 0.0000 0.1715 0.5000  3 Pb 3.12-3.33, 4 Na 3.47
Pb 0.1770 0.3239 0.6765  4 Pb 3.20-3.40, 3 Na 3.43-3.53

Calculated values
V (Å³/atom): 32.0
Calculated density (g/cm3): 7.93
Energy of formation (eV/atom): -0.177
Energy (eV per atom): -3.129
Spin magnetization (μB/atom): 0.00

(5)
Compound: KPdIBr2
Source: the Alexandria database
Functional: GGA-PBE
Structure: optimized geometry

a b c (Å): 4.2067 17.5449 8.3274
angles (deg): 90.00 90.00 90.00
Last column: nearest neighbours and their distance in Å.
Space group Cmcm (No. 63)
Inequivalent atoms, fractional coordinates:
K 0.0000 0.2105 0.2500  6 Br 3.23-3.28
Pd 0.0000 0.5000 0.0000  2 Br 2.50
I 0.0000 0.9997 0.2500  4 Pd 2.96
Br 0.0000 0.3575 0.0069  1 Pd 2.50

Calculated values
V (Å³/atom): 30.7
Calculated density (g/cm3): 4.67
Energy (eV per atom): -3.022
Spin magnetization (μB/atom): 0.00

(6)
Compound: Pm8TmIn6
Source: the Alexandria database
Functional: GGA-PBE
Structure: optimized geometry

a b c (Å): 9.1770 9.1770 19.8240
angles (deg): 90.00 90.00 120.00
Last column: nearest neighbours and their distance in Å.
Space group R-3 (No. 148, hexagonal axes)
Inequivalent atoms, fractional coordinates:
Pm 0.0000 0.0000 0.1655  6 In 3.27-3.28
Pm 0.0004 0.3331 0.7186  5 In 3.25-3.36
Tm 0.0000 0.0000 0.5000  6 In 3.19
In 0.0006 0.6732 0.4451  1 Tm 3.19, 7 Pm 3.25-3.36

Calculated values
V (Å³/atom): 32.1
Calculated density (g/cm3): 6.95
Energy of formation (eV/atom): -0.238
Energy (eV per atom): -4.165
Spin magnetization (μB/atom): 0.00

(7)
Compound: NaTb2Cd
Source: the Alexandria database
Functional: GGA-PBE
Structure: optimized geometry

a b c (Å): 5.3463 5.3463 3.9351
angles (deg): 90.00 90.00 90.00
Last column: nearest neighbours and their distance in Å.
Space group P4/mmm (No. 123)
Inequivalent atoms, fractional coordinates:
Na 0.0000 0.0000 0.0000  8 Tb 3.32
Tb 0.0000 0.5000 0.5000  4 Cd 3.32, 4 Na 3.32
Cd 0.5000 0.5000 0.0000  8 Tb 3.32

Calculated values
V (Å³/atom): 28.1
Polymorph energy (0 for the lowest one) (meV/atom): 14
Calculated density (g/cm3): 6.69
Energy of formation (eV/atom): 0.040
Energy (eV per atom): -2.834
Spin magnetization (μB/atom): 0.00

(8)
Compound: YIn2Pt
Source: the Alexandria database
Functional: GGA-PBE
Structure: optimized geometry

a b c (Å): 16.5540 7.6672 5.6900
angles (deg): 90.00 90.00 90.00
Last column: nearest neighbours and their distance in Å.
Space group Pnma (No. 62)
Inequivalent atoms, fractional coordinates:
Y 0.1071 0.2500 0.2367  3 Pt 3.03-3.24, 4 In 3.25-3.28
Y 0.1442 0.7500 0.4676  3 Pt 2.99-3.32, 4 In 3.26-3.32
In 0.0319 0.0479 0.7373  3 Pt 2.77-2.83, 1 In 2.99
In 0.2159 0.5499 0.9750  3 Pt 2.77-2.83, 1 In 3.07
Pt 0.0736 0.7500 0.9831  6 In 2.77-2.83, 1 Y 2.99
Pt 0.1716 0.2500 0.7352  6 In 2.77-2.83, 2 Y 3.03-3.05

Calculated values
V (Å³/atom): 22.6
Calculated density (g/cm3): 9.45
Energy of formation (eV/atom): -0.719
Energy (eV per atom): -5.214
Spin magnetization (μB/atom): 0.00

(9)
Compound: Li3Er3UTe8
Source: the Alexandria database
Functional: GGA-PBE
Structure: optimized geometry

a b c (Å): 8.6449 8.6449 21.1803
angles (deg): 90.00 90.00 120.00
Last column: nearest neighbours and their distance in Å.
Space group R-3m (No. 166, hexagonal axes)
Inequivalent atoms, fractional coordinates:
Li 0.0000 0.5000 0.0000  6 Te 3.04-3.06
Er 0.0000 0.5000 0.5000  6 Te 3.06-3.07
U 0.0000 0.0000 0.5000  6 Te 3.07
Te 0.0000 0.0000 0.2513  3 Li 3.04, 3 Er 3.07
Te 0.0016 0.5008 0.7495  2 Li 3.06, 2 Er 3.06, 1 U 3.07

Calculated values
V (Å³/atom): 30.5
Calculated density (g/cm3): 6.47
Energy (eV per atom): -4.855
Spin magnetization (μB/atom): 0.13

(10)
Compound: Rb2Er2NpS6
Source: the Alexandria database
Functional: GGA-PBE
Structure: optimized geometry

a b c (Å): 6.9334 12.0021 8.2084
angles (deg): 90.00 106.68 90.00
Last column: nearest neighbours and their distance in Å.
Space group C2/m (No. 12)
Inequivalent atoms, fractional coordinates:
Rb 0.0000 0.1685 0.0000  6 S 3.38-3.39
Er 0.0000 0.3336 0.5000  6 S 2.73-2.75
Np 0.0000 0.0000 0.5000  6 S 2.70-2.72
S 0.2271 0.1658 0.6850  1 Np 2.72, 2 Er 2.73-2.75
S 0.2340 0.5000 0.6848  1 Np 2.70, 2 Er 2.74

Calculated values
V (Å³/atom): 29.7
Calculated density (g/cm3): 4.74
Energy (eV per atom): -6.147
Spin magnetization (μB/atom): 0.27

(11)
Compound: Tb2Co2B2C
Source: the Alexandria database
Functional: GGA-PBE
Structure: optimized geometry

a b c (Å): 10.1597 3.5587 6.3599
angles (deg): 90.00 125.72 90.00
Last column: nearest neighbours and their distance in Å.
Space group C2/m (No. 12)
Inequivalent atoms, fractional coordinates:
Tb 0.0622 0.0000 0.3184  2 C 2.48
Co 0.2037 0.5000 0.0898  1 C 1.80, 2 B 2.01
B 0.1914 0.5000 0.7583  3 Co 2.01-2.04
C 0.0000 0.5000 0.0000  2 Co 1.80

Calculated values
V (Å³/atom): 13.3
Calculated density (g/cm3): 8.35
Energy of formation (eV/atom): -0.422
Energy (eV per atom): -7.001
Spin magnetization (μB/atom): 0.00

(12)
Compound: NaNb3Pt
Source: the Alexandria database
Functional: GGA-PBE
Structure: optimized geometry

a b c (Å): 4.9909 4.9909 4.9909
angles (deg): 90.00 90.00 90.00
Last column: nearest neighbours and their distance in Å.
Space group Pm-3m (No. 221)
Inequivalent atoms, fractional coordinates:
Na 0.0000 0.0000 0.0000  12 Nb 3.53
Nb 0.0000 0.5000 0.5000  2 Pt 2.50
Pt 0.5000 0.5000 0.5000  6 Nb 2.50

Calculated values
V (Å³/atom): 24.9
Polymorph energy (0 for the lowest one) (meV/atom): 0
Calculated density (g/cm3): 6.64
Energy of formation (eV/atom): 1.092
Energy (eV per atom): -6.421
Spin magnetization (μB/atom): 0.00